# 1
VASP calculation (PBE-GGA) on a geometry-optimized KMg3Pb3 structure.

Lattice parameters (Å, degrees): 8.3975 5.0500 10.7191 90.00 108.48 90.00
Space group P2_1/m (No. 11)
One atom of each set of equivalent atoms:
1 K 0.1193 0.2500 0.3829 (multiplicity 2)
2 Mg 0.2722 0.7500 0.9544 (multiplicity 2)
3 Mg 0.3535 0.2500 0.8280 (multiplicity 2)
4 Mg 0.3757 0.2500 0.1252 (multiplicity 2)
5 Pb 0.0024 0.2500 0.8975 (multiplicity 2)
6 Pb 0.3166 0.7500 0.6369 (multiplicity 2)
7 Pb 0.4089 0.7500 0.3337 (multiplicity 2)

DFT formation energy (eV per atom): -0.053
Polymorph energy (0 for the lowest one) (eV/atom): 0.000
Magnetization (μB/f.u.): 0.00

=====

# 2
VASP calculation (PBE-GGA) on a geometry-optimized RbBeB2 structure.

Lattice parameters (Å, degrees): 3.2192 3.5441 11.7168 90.00 90.00 90.00
Space group Amm2 (No. 38)
One atom of each set of equivalent atoms:
1 Rb 0.0000 0.0000 0.0000 (multiplicity 2)
2 Be 0.5000 0.0000 0.2510 (multiplicity 2)
3 B 0.2548 0.0000 0.7312 (multiplicity 4)

DFT formation energy (eV per atom): 0.323
Magnetization (μB/f.u.): 0.12